The following is a DFT calculation (PBE) of a relaxed structure of ReSbBr2.

Output
- magnetic moment (μB/atom) = 0.00
- energy above the most stable polymorph in this dataset (eV per atom) = 0.2144
- formation energy from raw total energies (eV per atom) = 0.45

abc: 6.9563 6.9563 6.9563
angles: 97.89 97.89 136.49
Last column: nearest neighbours and their distance in Å.
Atoms (fractional coordinates):
Re  0.0000  0.0000  0.0000  2 Sb 2.58, 4 Br 2.61
Re  0.7500  0.2500  0.5000  2 Sb 2.58, 4 Br 2.61
Sb  0.2500  0.7500  0.5000  2 Re 2.58
Sb  0.5000  0.5000  0.0000  2 Re 2.58
Br  0.3750  0.2446  0.3696  2 Re 2.61
Br  0.7554  0.1250  0.1304  2 Re 2.61
Br  0.8750  0.0054  0.6304  2 Re 2.61
Br  0.9946  0.6250  0.8696  2 Re 2.61

---

The following is a DFT calculation (PBE) of a relaxed structure of AlIrRu3.

Output
- magnetic moment (μB/atom) = 0.00
- energy above the most stable polymorph in this dataset (eV per atom) = 0.0000

abc: 4.3229 4.3229 4.3229
angles: 90.00 90.00 90.00
Last column: nearest neighbours and their distance in Å.
Atoms (fractional coordinates):
Al  0.0000  0.0000  0.0000  6 Ru 2.16
Ir  0.5000  0.5000  0.5000  12 Ru 3.06
Ru  0.0000  0.0000  0.5000  2 Al 2.16
Ru  0.0000  0.5000  0.0000  2 Al 2.16
Ru  0.5000  0.0000  0.0000  2 Al 2.16

---

The following is a DFT calculation (PBE) of a relaxed structure of YPuBi2.

Output
- magnetic moment (μB/atom) = 1.30
- energy above the most stable polymorph in this dataset (eV per atom) = 0.0828

abc: 4.4621 4.4621 7.7859
angles: 90.00 90.00 120.00
Last column: nearest neighbours and their distance in Å.
Atoms (fractional coordinates):
Y  0.0000  0.0000  0.0000  6 Bi 3.21
Pu  0.0000  0.0000  0.5000  6 Bi 3.25
Bi  0.3333  0.6667  0.7538  3 Y 3.21, 3 Pu 3.25
Bi  0.6667  0.3333  0.2462  3 Y 3.21, 3 Pu 3.25

---

The following is a DFT calculation (PBE) of a relaxed structure of Nd5Sm3In2.

Output
- magnetic moment (μB/atom) = 0.00
- uncorrected energy (eV/cell) = -85.46

abc: 10.7228 10.7228 10.7228
angles: 103.95 87.14 143.99
Last column: nearest neighbours and their distance in Å.
Atoms (fractional coordinates):
Nd  0.1619  0.1262  0.2880  1 In 2.99
Nd  0.2500  0.2500  0.0000  8 Nd 3.31-3.44
Nd  0.2500  0.5005  0.2505  2 In 3.23, 1 Sm 3.30, 5 Nd 3.31-3.43
Nd  0.2500  0.9995  0.7495  2 In 3.23, 1 Sm 3.30, 5 Nd 3.31-3.43
Nd  0.3381  0.6262  0.9643  1 In 2.99
Nd  0.6619  0.3738  0.0357  1 In 2.99
Nd  0.7500  0.0005  0.2505  2 In 3.23, 1 Sm 3.30, 5 Nd 3.31-3.43
Nd  0.7500  0.4995  0.7495  2 In 3.23, 1 Sm 3.30, 5 Nd 3.31-3.43
Nd  0.7500  0.7500  0.0000  8 Nd 3.31-3.44
Nd  0.8381  0.8738  0.7120  1 In 2.99
Sm  0.2367  0.3868  0.6235  4 In 3.49-3.88, 4 Nd 3.53-3.67
Sm  0.2500  0.7500  0.5000  4 In 3.28, 2 Nd 3.30, 2 Sm 3.31
Sm  0.2633  0.8868  0.1501  4 In 3.49-3.88, 4 Nd 3.53-3.67
Sm  0.7367  0.1132  0.8499  4 In 3.49-3.88, 4 Nd 3.53-3.67
Sm  0.7500  0.2500  0.5000  4 In 3.28, 2 Nd 3.30, 2 Sm 3.31
Sm  0.7633  0.6132  0.3765  4 In 3.49-3.88, 4 Nd 3.53-3.67
In  0.1456  0.6280  0.7736  3 Nd 2.99-3.23, 2 Sm 3.28
In  0.3544  0.1280  0.4823  3 Nd 2.99-3.23, 2 Sm 3.28
In  0.6456  0.8720  0.5177  3 Nd 2.99-3.23, 2 Sm 3.28
In  0.8544  0.3720  0.2264  3 Nd 2.99-3.23, 2 Sm 3.28